Record 1
# VTe2IBr, relaxed, DFT GGA-PBE
data_VTe2IBr
_symmetry_space_group_name_H-M 'P 1'
_symmetry_Int_Tables_number 1
_cell_length_a 5.190
_cell_length_b 5.190
_cell_length_c 5.411
_cell_angle_alpha 90.00
_cell_angle_beta 90.00
_cell_angle_gamma 90.00
loop_
_symmetry_equiv_pos_as_xyz
'x,y,z'
loop_
_atom_site_label
_atom_site_fract_x
_atom_site_fract_y
_atom_site_fract_z
_atom_site_occupancy
V1 0.000 0.000 0.000 1
Te1 0.000 0.500 0.000 1
Te2 0.500 0.000 0.000 1
I1 0.000 0.000 0.500 1
Br1 0.500 0.500 0.500 1
# * crystal system: tetragonal
# * magnetic moment: 0.00 μB/f.u.
# * energy relative to the elements, uncorrected: 0.11 eV per atom
# * offset from the most stable computed form: 0.000 eV/atom
# * space group: No. 123
# * E_tot: -3.619 eV per atom


Record 2
# KMnCu2, relaxed, DFT GGA-PBE
data_KMnCu2
_symmetry_space_group_name_H-M 'P 1'
_symmetry_Int_Tables_number 1
_cell_length_a 4.533
_cell_length_b 4.533
_cell_length_c 6.685
_cell_angle_alpha 98.92
_cell_angle_beta 98.92
_cell_angle_gamma 41.16
loop_
_symmetry_equiv_pos_as_xyz
'x,y,z'
loop_
_atom_site_label
_atom_site_fract_x
_atom_site_fract_y
_atom_site_fract_z
_atom_site_occupancy
K1 0.000 0.000 0.000 1
Mn1 0.210 0.210 0.600 1
Cu1 0.487 0.487 0.475 1
Cu2 0.770 0.770 0.345 1
# * crystal system: monoclinic
# * magnetic moment: 4.21 μB/f.u.
# * offset from the most stable computed form: 0.108 eV/atom
# * space group: No. 8
# * energy relative to the elements: 2.097 eV per formula unit
# * E_tot: -4.091 eV per atom


Record 3
# TiCr3Te4, relaxed, DFT GGA-PBE
data_TiCr3Te4
_symmetry_space_group_name_H-M 'P 1'
_symmetry_Int_Tables_number 1
_cell_length_a 7.483
_cell_length_b 7.483
_cell_length_c 7.171
_cell_angle_alpha 118.54
_cell_angle_beta 118.54
_cell_angle_gamma 31.50
loop_
_symmetry_equiv_pos_as_xyz
'x,y,z'
loop_
_atom_site_label
_atom_site_fract_x
_atom_site_fract_y
_atom_site_fract_z
_atom_site_occupancy
Ti1 0.000 0.000 0.000 1
Cr1 0.250 0.250 0.256 1
Cr2 0.500 0.500 0.500 1
Cr3 0.750 0.750 0.744 1
Te1 0.125 0.125 0.455 1
Te2 0.372 0.372 0.040 1
Te3 0.628 0.628 0.960 1
Te4 0.875 0.875 0.545 1
# * crystal system: monoclinic
# * magnetic moment: 12.01 μB/f.u.
# * energy relative to the elements, uncorrected: -0.18 eV per atom
# * space group: No. 12
# * E_tot: -6.344 eV per atom


Record 4
# BaAc3P2N6, relaxed, DFT GGA-PBE
data_BaAc3P2N6
_symmetry_space_group_name_H-M 'P 1'
_symmetry_Int_Tables_number 1
_cell_length_a 5.829
_cell_length_b 5.829
_cell_length_c 8.024
_cell_angle_alpha 90.00
_cell_angle_beta 90.00
_cell_angle_gamma 120.00
loop_
_symmetry_equiv_pos_as_xyz
'x,y,z'
loop_
_atom_site_label
_atom_site_fract_x
_atom_site_fract_y
_atom_site_fract_z
_atom_site_occupancy
Ba1 0.000 0.000 0.000 1
Ac1 0.000 0.000 0.500 1
Ac2 0.333 0.667 0.253 1
Ac3 0.667 0.333 0.747 1
P1 0.333 0.667 0.686 1
P2 0.667 0.333 0.314 1
N1 0.178 0.356 0.736 1
N2 0.178 0.822 0.736 1
N3 0.356 0.178 0.264 1
N4 0.644 0.822 0.736 1
N5 0.822 0.178 0.264 1
N6 0.822 0.644 0.264 1
# * crystal system: trigonal
# * magnetic moment: 0.00 μB/f.u.
# * energy relative to the elements, uncorrected: -0.84 eV per atom
# * space group: No. 164
# * E_tot: -7.087 eV per atom


Record 5
# K2TeMo, relaxed, DFT GGA-PBE
data_K2TeMo
_symmetry_space_group_name_H-M 'P 1'
_symmetry_Int_Tables_number 1
_cell_length_a 4.720
_cell_length_b 4.734
_cell_length_c 6.119
_cell_angle_alpha 90.00
_cell_angle_beta 90.00
_cell_angle_gamma 90.00
loop_
_symmetry_equiv_pos_as_xyz
'x,y,z'
loop_
_atom_site_label
_atom_site_fract_x
_atom_site_fract_y
_atom_site_fract_z
_atom_site_occupancy
K1 0.000 0.000 0.241 1
K2 0.000 0.000 0.759 1
Te1 0.500 0.500 0.000 1
Mo1 0.500 0.500 0.500 1
# * crystal system: orthorhombic
# * magnetic moment: 4.41 μB/f.u.
# * energy relative to the elements, uncorrected: 0.55 eV per atom
# * space group: No. 47
# * E_tot: -3.492 eV per atom


Record 6
# Ir3Pb2, relaxed, DFT GGA-PBE
data_Ir3Pb2
_symmetry_space_group_name_H-M 'P 1'
_symmetry_Int_Tables_number 1
_cell_length_a 8.287
_cell_length_b 5.429
_cell_length_c 9.048
_cell_angle_alpha 64.26
_cell_angle_beta 36.17
_cell_angle_gamma 79.57
loop_
_symmetry_equiv_pos_as_xyz
'x,y,z'
loop_
_atom_site_label
_atom_site_fract_x
_atom_site_fract_y
_atom_site_fract_z
_atom_site_occupancy
Ir1 0.000 0.000 0.000 1
Ir2 0.173 0.333 0.566 1
Ir3 0.250 0.250 0.250 1
Ir4 0.322 0.684 0.917 1
Ir5 0.333 0.173 0.928 1
Ir6 0.684 0.322 0.077 1
Pb1 0.319 0.745 0.591 1
Pb2 0.659 0.905 0.931 1
Pb3 0.745 0.319 0.345 1
Pb4 0.905 0.659 0.505 1
# * crystal system: orthorhombic
# * magnetic moment: 0.00 μB/f.u.
# * space group: No. 43
# * energy relative to the elements: 1.945 eV per formula unit
# * E_tot: -6.411 eV per atom